Record 1
The following is a PBE calculation of a relaxed structure of BaYTe2, from Alexandria.

a b c (Å): 8.537 8.537 8.537
angles (deg): 151.75 150.65 41.19
Fractional positions:
Ba 0.000 0.000 0.000
Y 0.248 0.748 0.500
Te 0.391 0.391 0.000
Te 0.675 0.175 0.500

Results
For the energy, the calculation gives -5.048 eV/atom. The formation energy without anion corrections comes out at -1.381 eV per atom. The calculation puts the density of states at the Fermi level at 2.9 states/eV/cell. The calculation puts the distance to the lowest polymorph of the same formula at 153 meV/atom.

=====

Record 2
The following is a PBE calculation of a relaxed structure of BaY4Te, from Alexandria.

a b c (Å): 6.791 6.791 6.791
angles (deg): 60.00 60.00 60.00
Fractional positions:
Ba 0.000 0.000 0.000
Y 0.374 0.374 0.374
Y 0.374 0.374 0.877
Y 0.374 0.877 0.374
Y 0.877 0.374 0.374
Te 0.750 0.750 0.750

Results
For the energy, the calculation gives -4.969 eV/atom. The formation energy without anion corrections comes out at 0.184 eV per atom. The calculation puts the density of states at the Fermi level at 10.9 states/eV/cell.

=====

Record 3
The following is a PBE calculation of a relaxed structure of BaYTe2, from Alexandria.

a b c (Å): 8.564 8.564 8.564
angles (deg): 30.46 30.46 30.46
Fractional positions:
Ba 0.000 0.000 0.000
Y 0.172 0.172 0.172
Te 0.575 0.575 0.575
Te 0.765 0.765 0.765

Results
For the energy, the calculation gives -5.163 eV/atom. The formation energy without anion corrections comes out at -1.496 eV per atom. The calculation puts the density of states at the Fermi level at 2.8 states/eV/cell. The calculation puts the distance to the lowest polymorph of the same formula at 38 meV/atom.

=====

Record 4
The following is a PBE calculation of a relaxed structure of BaY3Te, from Alexandria.

a b c (Å): 5.723 5.723 5.723
angles (deg): 90.00 90.00 90.00
Fractional positions:
Ba 0.000 0.000 0.000
Y 0.000 0.000 0.500
Y 0.000 0.500 0.000
Y 0.500 0.000 0.000
Te 0.500 0.500 0.500

Results
For the energy, the calculation gives -3.952 eV/atom. The formation energy without anion corrections comes out at 0.939 eV per atom. The calculation puts the density of states at the Fermi level at 5.3 states/eV/cell. The calculation puts the distance to the lowest polymorph of the same formula at 1070 meV/atom.

=====

Record 5
The following is a PBE calculation of a relaxed structure of BaYTe2, from Alexandria.

a b c (Å): 5.676 5.676 5.676
angles (deg): 60.00 60.00 60.00
Fractional positions:
Ba 0.000 0.000 0.000
Y 0.500 0.500 0.500
Te 0.250 0.250 0.250
Te 0.750 0.750 0.750

Results
For the energy, the calculation gives -4.894 eV/atom. The formation energy without anion corrections comes out at -1.226 eV per atom. The calculation puts the density of states at the Fermi level at 3.4 states/eV/cell. The calculation puts the distance to the lowest polymorph of the same formula at 308 meV/atom.

=====

Record 6
The following is a PBE calculation of a relaxed structure of Ba2YZnTe, from Alexandria.

a b c (Å): 6.564 6.564 5.214
angles (deg): 90.00 90.00 90.00
Fractional positions:
Ba 0.000 0.500 0.000
Ba 0.500 0.000 0.000
Y 0.000 0.000 0.000
Zn 0.000 0.000 0.500
Te 0.500 0.500 0.500

Results
For the energy, the calculation gives -2.701 eV/atom. The formation energy without anion corrections comes out at 0.244 eV per atom. The calculation puts the density of states at the Fermi level at 7.1 states/eV/cell.

=====

Record 7
The following is a PBE calculation of a relaxed structure of BaZn2Te2, from Alexandria.

a b c (Å): 6.212 6.212 6.212
angles (deg): 127.90 127.90 76.78
Fractional positions:
Ba 0.000 0.000 0.000
Zn 0.374 0.374 0.000
Zn 0.626 0.626 0.000
Te 0.250 0.750 0.500
Te 0.750 0.250 0.500

Results
For the energy, the calculation gives -2.832 eV/atom. The formation energy without anion corrections comes out at -0.681 eV per atom. The calculation puts the density of states at the Fermi level at 0.5 states/eV/cell. The calculation puts the distance to the lowest polymorph of the same formula at 0 meV/atom.

=====

Record 8
The following is a PBE calculation of a relaxed structure of BaZnTe, from Alexandria.

a b c (Å): 5.351 5.351 5.351
angles (deg): 60.00 60.00 60.00
Fractional positions:
Ba 0.000 0.000 0.000
Zn 0.750 0.750 0.750
Te 0.500 0.500 0.500

Results
For the energy, the calculation gives -2.827 eV/atom. The formation energy without anion corrections comes out at -0.714 eV per atom. The calculation puts the density of states at the Fermi level at 0.3 states/eV/cell. The calculation puts the distance to the lowest polymorph of the same formula at 119 meV/atom.